Entry 1:
BaBi3Ir: optimized geometry, PBE.

Output
calculated volume: 312.9 Å³ per cell
ΔE_f: -154.1 kJ/mol of formula units
energy above the lowest structure with this stoichiometry: 0 meV/atom

Cell and atoms, written as POSCAR:
```
BaBi3Ir
1.0
6.6053 -0.0002 0.0000
0.0002 6.6214 -0.0010
0.0002 0.0011 7.1553
Ba Bi Ir
2 6 2
Direct
0.4203 0.3249 0.7008 Ba
0.9203 0.0279 0.2007 Ba
0.3680 0.3002 0.2008 Bi
0.4649 0.8432 0.9549 Bi
0.9650 0.5096 0.4549 Bi
0.8680 0.0526 0.7007 Bi
0.9649 0.5095 0.9467 Bi
0.4649 0.8432 0.4467 Bi
0.1599 0.7730 0.7008 Ir
0.6599 0.5798 0.2008 Ir
```

=====

Entry 2:
BaBiIr2: optimized geometry, PBE.

Output
calculated volume: 212.1 Å³ per cell
ΔE_f: 222.4 kJ/mol of formula units

Cell and atoms, written as POSCAR:
```
BaBiIr2
1.0
-7.3575 2.1013 -1.9400
-2.2081 -0.7707 7.5394
-3.9989 3.9301 3.3630
Ir Bi Ba
4 2 2
Direct
0.6780 0.1250 0.2500 Ir
0.0720 0.6250 0.2500 Ir
0.3750 0.3220 0.7500 Ir
0.8750 0.9280 0.7500 Ir
0.0000 0.0000 0.0000 Bi
0.7500 0.2500 0.5000 Bi
0.5000 0.5000 0.0000 Ba
0.2500 0.7500 0.5000 Ba
```

=====

Entry 3:
Ba2BiIrO: optimized geometry, PBE.

Output
calculated volume: 144.6 Å³ per cell
uncorrected formation energy: -0.8832 eV/atom

Cell and atoms, written as POSCAR:
```
Ba2BiIrO
1.0
-1.5685 3.3793 -4.8700
-1.6031 -3.0936 -1.6303
-5.3486 1.3647 2.6696
Ir Bi O Ba
1 1 1 2
Direct
0.0000 0.5000 0.0000 Ir
0.5000 0.5000 0.5000 Bi
0.0000 0.0000 0.0000 O
0.0000 0.0000 0.5000 Ba
0.5000 0.0000 0.0000 Ba
```

=====

Question: Which formula does entry 2 have?
Answer: BaBiIr2